Material: Tl2PbBr
Method: DFT, PBE
State: relaxed

The structure belongs to space group I-42d (No. 122); the cell edges are 6.722, 6.722 and 16.314 Å and the angles 90.00°, 90.00° and 90.00°. The asymmetric unit holds Tl at (0.233, 0.250, 0.125), Pb at (0.000, 0.000, 0.000) and Br at (0.000, 0.000, 0.500).

The calculation puts the energy relative to the elements, uncorrected at -22.5 kJ/mol of formula units.